DFT (PBE) results for a relaxed LuTlHgSe3 crystal.

Calculated values
SG	No. 62
volume	168.3	Å³/f.u.
distance to the lowest polymorph of the same formula	4	meV per atom
final energy	-3.8453	eV per atom

Cell and atoms, written as POSCAR:
```
LuTlHgSe3
1.0
-10.7079 3.6949 9.0067
1.4058 -2.7533 2.8008
6.4940 7.8809 4.4875
Tl Se Lu Hg
4 12 4 4
Cartesian
-1.9028 0.5956 3.0939 Tl
1.8511 3.2271 6.9029 Tl
-4.6591 5.5955 9.3922 Tl
-0.9052 8.2269 13.2012 Tl
-2.7801 0.0619 6.1160 Se
-4.0380 8.1639 11.6053 Se
-5.9183 4.5983 12.1505 Se
5.6609 5.1227 6.8542 Se
-8.4689 3.6998 9.4409 Se
-4.4496 2.1110 8.9682 Se
1.6415 6.7115 7.3269 Se
-1.5931 3.6991 5.9892 Se
1.2299 0.6586 4.6898 Se
-1.2149 5.1234 10.3059 Se
3.1103 4.2243 4.1446 Se
-0.0279 8.7606 10.1791 Se
2.3289 2.1584 2.5061 Lu
-4.3065 2.4508 6.1240 Lu
1.4985 6.3717 10.1711 Lu
-5.1369 6.6641 13.7890 Lu
1.4869 -1.1527 2.7803 Hg
-0.8259 5.8403 7.7089 Hg
-1.9821 2.9822 8.5862 Hg
-4.2949 9.9753 13.5148 Hg
```